#i
VASP calculation (PBE) on a relaxed structure of NiAgAsSe2.

Output
Its density of states at the Fermi level is 6.96 states/eV per cell. As for the symmetry: No. 123.

Lattice parameters (Å, degrees): 5.089 5.089 4.887 90.00 90.00 90.00
Fractional coordinates of all 5 atoms:
Ni 0.000 0.000 0.000
Ag 0.500 0.500 0.500
As 0.500 0.500 0.000
Se 0.000 0.500 0.500
Se 0.500 0.000 0.500

***

#ii
VASP calculation (PBE) on a relaxed structure of NiAgAsSe2.

Output
Its density of states at the Fermi level is 4.20 states/eV per cell. As for the symmetry: No. 123.

Lattice parameters (Å, degrees): 4.952 4.952 4.367 90.00 90.00 90.00
Fractional coordinates of all 5 atoms:
Ni 0.000 0.000 0.000
Ag 0.500 0.500 0.500
As 0.000 0.000 0.500
Se 0.000 0.500 0.000
Se 0.500 0.000 0.000

***

Energies relative to the most stable structure, in eV/atom: #i 0.770; #ii 0.000.